No. 1
Compound: KSr3Pd
Source: Alexandria
Functional: PBEsol
Structure: optimized geometry

```
data_KSr3Pd
_chemical_formula_sum 'K1 Sr3 Pd1'
_space_group_name_H-M_alt 'P m -3 m'
_space_group_IT_number 221
_space_group_name_Hall '-P 4 2 3'
_cell_length_a 6.0567
_cell_length_b 6.0567
_cell_length_c 6.0567
_cell_angle_alpha 90.00
_cell_angle_beta 90.00
_cell_angle_gamma 90.00
loop_
_atom_site_label
_atom_site_fract_x
_atom_site_fract_y
_atom_site_fract_z
K1 0.0000 0.0000 0.0000
Sr1 0.0000 0.5000 0.5000
Pd1 0.5000 0.5000 0.5000
```

Energy of formation from the pure elements ... -0.22 eV/atom
E ... -2.7412 eV/atom


No. 2
Compound: K2TaPd
Source: Alexandria
Functional: PBEsol
Structure: optimized geometry

```
data_K2TaPd
_chemical_formula_sum 'K8 Ta4 Pd4'
_space_group_name_H-M_alt 'F m -3 m'
_space_group_IT_number 225
_space_group_name_Hall '-F 4 2 3'
_cell_length_a 7.6434
_cell_length_b 7.6434
_cell_length_c 7.6434
_cell_angle_alpha 90.00
_cell_angle_beta 90.00
_cell_angle_gamma 90.00
loop_
_atom_site_label
_atom_site_fract_x
_atom_site_fract_y
_atom_site_fract_z
K1 0.2500 0.2500 0.2500
Ta1 0.0000 0.0000 0.0000
Pd1 0.0000 0.0000 0.5000
```

Energy of formation from the pure elements ... 1.74 eV/atom
E ... -3.4546 eV/atom


No. 3
Compound: K2Te2Pd
Source: Alexandria
Functional: PBEsol
Structure: optimized geometry

```
data_K2Te2Pd
_chemical_formula_sum 'K4 Te4 Pd2'
_space_group_name_H-M_alt 'I m m m'
_space_group_IT_number 71
_space_group_name_Hall '-I 2 2'
_cell_length_a 4.0072
_cell_length_b 8.4757
_cell_length_c 10.7249
_cell_angle_alpha 90.00
_cell_angle_beta 90.00
_cell_angle_gamma 90.00
loop_
_atom_site_label
_atom_site_fract_x
_atom_site_fract_y
_atom_site_fract_z
K1 0.0000 0.0000 0.2201
Te1 0.0000 0.2993 0.0000
Pd1 0.0000 0.0000 0.5000
```

E ... -3.7399 eV/atom


No. 4
Compound: KTe2Pd2
Source: Alexandria
Functional: PBEsol
Structure: optimized geometry

```
data_KTe2Pd2
_chemical_formula_sum 'K2 Te4 Pd4'
_space_group_name_H-M_alt 'I 4/m m m'
_space_group_IT_number 139
_space_group_name_Hall '-I 4 2'
_cell_length_a 4.4593
_cell_length_b 4.4593
_cell_length_c 12.4667
_cell_angle_alpha 90.00
_cell_angle_beta 90.00
_cell_angle_gamma 90.00
loop_
_atom_site_label
_atom_site_fract_x
_atom_site_fract_y
_atom_site_fract_z
K1 0.0000 0.0000 0.0000
Te1 0.0000 0.0000 0.3661
Pd1 0.0000 0.5000 0.2500
```

E ... -4.5263 eV/atom


No. 5
Compound: K2TlPd
Source: Alexandria
Functional: PBEsol
Structure: optimized geometry

```
data_K2TlPd
_chemical_formula_sum 'K8 Tl4 Pd4'
_space_group_name_H-M_alt 'F m -3 m'
_space_group_IT_number 225
_space_group_name_Hall '-F 4 2 3'
_cell_length_a 7.8309
_cell_length_b 7.8309
_cell_length_c 7.8309
_cell_angle_alpha 90.00
_cell_angle_beta 90.00
_cell_angle_gamma 90.00
loop_
_atom_site_label
_atom_site_fract_x
_atom_site_fract_y
_atom_site_fract_z
K1 0.2500 0.2500 0.2500
Tl1 0.0000 0.0000 0.0000
Pd1 0.0000 0.0000 0.5000
```

Energy of formation from the pure elements ... 0.25 eV/atom
E ... -2.4633 eV/atom


No. 6
Compound: KTl2Pd2
Source: Alexandria
Functional: PBEsol
Structure: optimized geometry

```
data_KTl2Pd2
_chemical_formula_sum 'K2 Tl4 Pd4'
_space_group_name_H-M_alt 'P 4/m b m'
_space_group_IT_number 127
_space_group_name_Hall '-P 4 2ab'
_cell_length_a 8.4441
_cell_length_b 8.4441
_cell_length_c 2.9935
_cell_angle_alpha 90.00
_cell_angle_beta 90.00
_cell_angle_gamma 90.00
loop_
_atom_site_label
_atom_site_fract_x
_atom_site_fract_y
_atom_site_fract_z
K1 0.0000 0.0000 0.0000
Tl1 0.1310 0.3690 0.0000
Pd1 0.1661 0.6661 0.5000
```

Energy relative to the lowest polymorph listed for this composition ... 0.008 eV/atom
Energy of formation from the pure elements ... -0.12 eV/atom
E ... -3.7786 eV/atom


No. 7
Compound: KTl2Pd2
Source: Alexandria
Functional: PBEsol
Structure: optimized geometry

```
data_KTl2Pd2
_chemical_formula_sum 'K2 Tl4 Pd4'
_space_group_name_H-M_alt 'I 4/m m m'
_space_group_IT_number 139
_space_group_name_Hall '-I 4 2'
_cell_length_a 4.2416
_cell_length_b 4.2416
_cell_length_c 13.2452
_cell_angle_alpha 90.00
_cell_angle_beta 90.00
_cell_angle_gamma 90.00
loop_
_atom_site_label
_atom_site_fract_x
_atom_site_fract_y
_atom_site_fract_z
K1 0.0000 0.0000 0.0000
Tl1 0.0000 0.0000 0.3778
Pd1 0.0000 0.5000 0.2500
```

Energy relative to the lowest polymorph listed for this composition ... 0.000 eV/atom
Energy of formation from the pure elements ... -0.12 eV/atom
E ... -3.7862 eV/atom


No. 8
Compound: KTl3Pd
Source: Alexandria
Functional: PBEsol
Structure: optimized geometry

```
data_KTl3Pd
_chemical_formula_sum 'K1 Tl3 Pd1'
_space_group_name_H-M_alt 'P m -3 m'
_space_group_IT_number 221
_space_group_name_Hall '-P 4 2 3'
_cell_length_a 5.3283
_cell_length_b 5.3283
_cell_length_c 5.3283
_cell_angle_alpha 90.00
_cell_angle_beta 90.00
_cell_angle_gamma 90.00
loop_
_atom_site_label
_atom_site_fract_x
_atom_site_fract_y
_atom_site_fract_z
K1 0.0000 0.0000 0.0000
Tl1 0.0000 0.5000 0.5000
Pd1 0.5000 0.5000 0.5000
```

Energy of formation from the pure elements ... -0.06 eV/atom
E ... -3.0583 eV/atom


No. 9
Compound: K2TlPd2
Source: Alexandria
Functional: PBEsol
Structure: optimized geometry

```
data_K2TlPd2
_chemical_formula_sum 'K4 Tl2 Pd4'
_space_group_name_H-M_alt 'P 4/m b m'
_space_group_IT_number 127
_space_group_name_Hall '-P 4 2ab'
_cell_length_a 6.9135
_cell_length_b 6.9135
_cell_length_c 5.3444
_cell_angle_alpha 90.00
_cell_angle_beta 90.00
_cell_angle_gamma 90.00
loop_
_atom_site_label
_atom_site_fract_x
_atom_site_fract_y
_atom_site_fract_z
K1 0.1737 0.3263 0.0000
Tl1 0.0000 0.0000 0.5000
Pd1 0.1341 0.6341 0.5000
```

Energy of formation from the pure elements ... -0.02 eV/atom
E ... -3.3833 eV/atom


No. 10
Compound: KPd3W
Source: Alexandria
Functional: PBEsol
Structure: optimized geometry

```
data_KPd3W
_chemical_formula_sum 'K1 Pd3 W1'
_space_group_name_H-M_alt 'P m -3 m'
_space_group_IT_number 221
_space_group_name_Hall '-P 4 2 3'
_cell_length_a 4.8603
_cell_length_b 4.8603
_cell_length_c 4.8603
_cell_angle_alpha 90.00
_cell_angle_beta 90.00
_cell_angle_gamma 90.00
loop_
_atom_site_label
_atom_site_fract_x
_atom_site_fract_y
_atom_site_fract_z
K1 0.0000 0.0000 0.0000
Pd1 0.0000 0.5000 0.5000
W1 0.5000 0.5000 0.5000
```

Energy of formation from the pure elements ... 0.89 eV/atom
E ... -5.6707 eV/atom


No. 11
Compound: KZrPd2
Source: Alexandria
Functional: PBEsol
Structure: optimized geometry

```
data_KZrPd2
_chemical_formula_sum 'K4 Zr4 Pd8'
_space_group_name_H-M_alt 'F m -3 m'
_space_group_IT_number 225
_space_group_name_Hall '-F 4 2 3'
_cell_length_a 6.7827
_cell_length_b 6.7827
_cell_length_c 6.7827
_cell_angle_alpha 90.00
_cell_angle_beta 90.00
_cell_angle_gamma 90.00
loop_
_atom_site_label
_atom_site_fract_x
_atom_site_fract_y
_atom_site_fract_z
K1 0.0000 0.0000 0.0000
Zr1 0.0000 0.0000 0.5000
Pd1 0.2500 0.2500 0.2500
```

Energy of formation from the pure elements ... 0.14 eV/atom
E ... -5.3990 eV/atom


No. 12
Compound: K2Pt
Source: Alexandria
Functional: PBEsol
Structure: optimized geometry

```
data_K2Pt
_chemical_formula_sum 'K8 Pt4'
_space_group_name_H-M_alt 'F m -3 m'
_space_group_IT_number 225
_space_group_name_Hall '-F 4 2 3'
_cell_length_a 7.4440
_cell_length_b 7.4440
_cell_length_c 7.4440
_cell_angle_alpha 90.00
_cell_angle_beta 90.00
_cell_angle_gamma 90.00
loop_
_atom_site_label
_atom_site_fract_x
_atom_site_fract_y
_atom_site_fract_z
K1 0.2500 0.2500 0.2500
Pt1 0.0000 0.0000 0.0000
```

Energy of formation from the pure elements ... 0.16 eV/atom
E ... -2.9192 eV/atom


No. 13
Compound: K6Pt7
Source: Alexandria
Functional: PBEsol
Structure: optimized geometry

```
data_K6Pt7
_chemical_formula_sum 'K18 Pt21'
_space_group_name_H-M_alt 'R -3 m'
_space_group_IT_number 166
_space_group_name_Hall '-R 3 2"'
_cell_length_a 5.5446
_cell_length_b 5.5446
_cell_length_c 30.9946
_cell_angle_alpha 90.00
_cell_angle_beta 90.00
_cell_angle_gamma 120.00
loop_
_atom_site_label
_atom_site_fract_x
_atom_site_fract_y
_atom_site_fract_z
K1 0.0000 0.0000 0.0523
K2 0.0000 0.0000 0.1503
K3 0.0000 0.0000 0.3392
Pt1 0.0000 0.0000 0.5000
Pt2 0.0055 0.5028 0.9041
```

Energy of formation from the pure elements ... 0.01 eV/atom
E ... -4.2578 eV/atom


No. 14
Compound: KPt4
Source: Alexandria
Functional: PBEsol
Structure: optimized geometry

```
data_KPt4
_chemical_formula_sum 'K2 Pt8'
_space_group_name_H-M_alt 'I m -3 m'
_space_group_IT_number 229
_space_group_name_Hall '-I 4 2 3'
_cell_length_a 5.8522
_cell_length_b 5.8522
_cell_length_c 5.8522
_cell_angle_alpha 90.00
_cell_angle_beta 90.00
_cell_angle_gamma 90.00
loop_
_atom_site_label
_atom_site_fract_x
_atom_site_fract_y
_atom_site_fract_z
K1 0.0000 0.0000 0.0000
Pt1 0.2500 0.2500 0.2500
```

Energy relative to the lowest polymorph listed for this composition ... 1.473 eV/atom
Energy of formation from the pure elements ... 1.79 eV/atom
E ... -4.0086 eV/atom


No. 15
Compound: KPt5
Source: Alexandria
Functional: PBEsol
Structure: optimized geometry

```
data_KPt5
_chemical_formula_sum 'K1 Pt5'
_space_group_name_H-M_alt 'P 4/m m m'
_space_group_IT_number 123
_space_group_name_Hall '-P 4 2'
_cell_length_a 2.7822
_cell_length_b 2.7822
_cell_length_c 12.9945
_cell_angle_alpha 90.00
_cell_angle_beta 90.00
_cell_angle_gamma 90.00
loop_
_atom_site_label
_atom_site_fract_x
_atom_site_fract_y
_atom_site_fract_z
K1 0.0000 0.0000 0.0000
Pt1 0.0000 0.0000 0.3516
Pt2 0.5000 0.5000 0.2033
Pt3 0.5000 0.5000 0.5000
```

Energy of formation from the pure elements ... 0.14 eV/atom
E ... -5.8554 eV/atom


No. 16
Compound: K2Pt
Source: Alexandria
Functional: PBEsol
Structure: optimized geometry

```
data_K2Pt
_chemical_formula_sum 'K4 Pt2'
_space_group_name_H-M_alt 'I 4/m m m'
_space_group_IT_number 139
_space_group_name_Hall '-I 4 2'
_cell_length_a 4.1945
_cell_length_b 4.1945
_cell_length_c 9.6607
_cell_angle_alpha 90.00
_cell_angle_beta 90.00
_cell_angle_gamma 90.00
loop_
_atom_site_label
_atom_site_fract_x
_atom_site_fract_y
_atom_site_fract_z
K1 0.0000 0.0000 0.1534
Pt1 0.0000 0.0000 0.5000
```

Energy of formation from the pure elements ... 0.23 eV/atom
E ... -2.8515 eV/atom


No. 17
Compound: K2Pt
Source: Alexandria
Functional: PBEsol
Structure: optimized geometry

```
data_K2Pt
_chemical_formula_sum 'K2 Pt1'
_space_group_name_H-M_alt 'P -3 m 1'
_space_group_IT_number 164
_space_group_name_Hall '-P 3 2"'
_cell_length_a 4.9880
_cell_length_b 4.9880
_cell_length_c 4.0460
_cell_angle_alpha 90.00
_cell_angle_beta 90.00
_cell_angle_gamma 120.00
loop_
_atom_site_label
_atom_site_fract_x
_atom_site_fract_y
_atom_site_fract_z
K1 0.3333 0.6667 0.1823
Pt1 0.0000 0.0000 0.5000
```

Energy of formation from the pure elements ... 0.27 eV/atom
E ... -2.8094 eV/atom


No. 18
Compound: KPt4
Source: Alexandria
Functional: PBEsol
Structure: optimized geometry

```
data_KPt4
_chemical_formula_sum 'K2 Pt8'
_space_group_name_H-M_alt 'I 4/m m m'
_space_group_IT_number 139
_space_group_name_Hall '-I 4 2'
_cell_length_a 4.5114
_cell_length_b 4.5114
_cell_length_c 9.8955
_cell_angle_alpha 90.00
_cell_angle_beta 90.00
_cell_angle_gamma 90.00
loop_
_atom_site_label
_atom_site_fract_x
_atom_site_fract_y
_atom_site_fract_z
K1 0.0000 0.0000 0.0000
Pt1 0.0000 0.0000 0.3758
Pt2 0.0000 0.5000 0.2500
```

Energy relative to the lowest polymorph listed for this composition ... 0.000 eV/atom
Energy of formation from the pure elements ... 0.32 eV/atom
E ... -5.4812 eV/atom


No. 19
Compound: KRb3Pt
Source: Alexandria
Functional: PBEsol
Structure: optimized geometry

```
data_KRb3Pt
_chemical_formula_sum 'K1 Rb3 Pt1'
_space_group_name_H-M_alt 'P m -3 m'
_space_group_IT_number 221
_space_group_name_Hall '-P 4 2 3'
_cell_length_a 6.5237
_cell_length_b 6.5237
_cell_length_c 6.5237
_cell_angle_alpha 90.00
_cell_angle_beta 90.00
_cell_angle_gamma 90.00
loop_
_atom_site_label
_atom_site_fract_x
_atom_site_fract_y
_atom_site_fract_z
K1 0.0000 0.0000 0.0000
Rb1 0.0000 0.5000 0.5000
Pt1 0.5000 0.5000 0.5000
```

Energy of formation from the pure elements ... 0.16 eV/atom
E ... -2.0776 eV/atom


No. 20
Compound: K2RbPt
Source: Alexandria
Functional: PBEsol
Structure: optimized geometry

```
data_K2RbPt
_chemical_formula_sum 'K8 Rb4 Pt4'
_space_group_name_H-M_alt 'F m -3 m'
_space_group_IT_number 225
_space_group_name_Hall '-F 4 2 3'
_cell_length_a 8.0462
_cell_length_b 8.0462
_cell_length_c 8.0462
_cell_angle_alpha 90.00
_cell_angle_beta 90.00
_cell_angle_gamma 90.00
loop_
_atom_site_label
_atom_site_fract_x
_atom_site_fract_y
_atom_site_fract_z
K1 0.2500 0.2500 0.2500
Rb1 0.0000 0.0000 0.0000
Pt1 0.0000 0.0000 0.5000
```

Energy of formation from the pure elements ... 0.24 eV/atom
E ... -2.3203 eV/atom


| no. | size of the total moment (μB per formula unit) |
| --- | --- |
| 1 | 0.0 |
| 2 | 3.5 |
| 3 | 0.0 |
| 4 | 0.0 |
| 5 | 0.0 |
| 6 | 0.0 |
| 7 | 0.0 |
| 8 | 0.0 |
| 9 | 0.0 |
| 10 | 0.0 |
| 11 | 0.0 |
| 12 | 0.2 |
| 13 | 0.0 |
| 14 | 0.0 |
| 15 | 0.0 |
| 16 | 0.0 |
| 17 | 0.0 |
| 18 | 0.0 |
| 19 | 0.0 |
| 20 | 0.0 |